[1]
A plane-wave DFT calculation with PBE-GGA was carried out for crystalline KPSe2 at its relaxed geometry. Values from VASP.

Geometry as Quantum ESPRESSO input:
```
&SYSTEM
  ibrav = 0, nat = 4, ntyp = 3
/
ATOMIC_SPECIES
Se 78.96 Se.upf
P 30.97 P.upf
K 39.10 K.upf
ATOMIC_POSITIONS crystal
Se 0.250 0.250 0.250
P 0.000 0.000 0.000
K 0.500 0.500 0.500
Se 0.750 0.750 0.750
CELL_PARAMETERS angstrom
0.000 3.577 3.577
3.577 0.000 3.577
3.577 3.577 0.000
```

Space group: Fm-3m
Fermi-level density of states (states/eV/f.u.): 1.41
Uncorrected formation energy (eV per atom): 0.2195
Theoretical density (g/cm³): 4.14
Uncorrected energy (eV per atom): -3.15
M_tot (μB per cell): 0.0

[2]
A plane-wave DFT calculation with PBE-GGA was carried out for crystalline KPSe2 at its relaxed geometry. Values from VASP.

Geometry as Quantum ESPRESSO input:
```
&SYSTEM
  ibrav = 0, nat = 4, ntyp = 3
/
ATOMIC_SPECIES
Se 78.96 Se.upf
P 30.97 P.upf
K 39.10 K.upf
ATOMIC_POSITIONS crystal
Se 0.437 0.437 0.497
P 0.250 0.250 0.250
K 0.750 0.750 0.750
Se 0.063 0.063 0.003
CELL_PARAMETERS angstrom
5.852 0.648 -0.436
4.928 3.223 -0.436
-0.900 -0.323 6.699
```

Space group: C2/m
Fermi-level density of states (states/eV/f.u.): 0.94
Uncorrected formation energy (eV per atom): -0.0711
Theoretical density (g/cm³): 3.65
Uncorrected energy (eV per atom): -3.44
M_tot (μB per cell): 0.0

[3]
A plane-wave DFT calculation with PBE-GGA was carried out for crystalline KPSe2 at its relaxed geometry. Values from VASP.

Geometry as Quantum ESPRESSO input:
```
&SYSTEM
  ibrav = 0, nat = 4, ntyp = 3
/
ATOMIC_SPECIES
K 39.10 K.upf
P 30.97 P.upf
Se 78.96 Se.upf
ATOMIC_POSITIONS crystal
K 0.500 0.000 0.500
P 0.000 0.500 0.500
Se 0.500 0.500 0.000
Se 0.000 0.000 0.000
CELL_PARAMETERS angstrom
4.807 0.000 0.000
0.000 4.809 0.000
0.000 0.000 3.865
```

Space group: P4/mmm
Fermi-level density of states (states/eV/f.u.): 1.41
Uncorrected formation energy (eV per atom): 0.1742
Theoretical density (g/cm³): 4.24
Uncorrected energy (eV per atom): -3.19
M_tot (μB per cell): 0.0

[4]
A plane-wave DFT calculation with PBE-GGA was carried out for crystalline KP2Se6 at its relaxed geometry. Values from VASP.

Geometry as Quantum ESPRESSO input:
```
&SYSTEM
  ibrav = 0, nat = 18, ntyp = 3
/
ATOMIC_SPECIES
Se 78.96 Se.upf
K 39.10 K.upf
P 30.97 P.upf
ATOMIC_POSITIONS crystal
Se 0.869 0.128 0.061
Se 0.391 0.520 0.862
Se 0.131 0.872 0.939
Se 0.400 0.715 0.582
Se 0.900 0.582 0.715
K 0.750 0.818 0.182
P 0.215 0.670 0.778
K 0.250 0.182 0.818
Se 0.109 0.138 0.480
P 0.785 0.330 0.222
Se 0.609 0.480 0.138
Se 0.891 0.862 0.520
Se 0.369 0.061 0.128
Se 0.600 0.285 0.418
P 0.715 0.778 0.670
Se 0.631 0.939 0.872
Se 0.100 0.418 0.285
P 0.285 0.222 0.330
CELL_PARAMETERS angstrom
-1.407 -5.652 2.503
6.557 1.037 7.339
-8.424 3.294 4.013
```

Space group: C2/c
Fermi-level density of states (states/eV/f.u.): 0.07
Uncorrected formation energy (eV per atom): -0.2112
Theoretical density (g/cm³): 3.17
Uncorrected energy (eV per atom): -3.86
M_tot (μB per cell): 0.0

[5]
A plane-wave DFT calculation with PBE-GGA was carried out for crystalline KPSe3 at its relaxed geometry. Values from VASP.

Geometry as Quantum ESPRESSO input:
```
&SYSTEM
  ibrav = 0, nat = 5, ntyp = 3
/
ATOMIC_SPECIES
Se 78.96 Se.upf
P 30.97 P.upf
K 39.10 K.upf
ATOMIC_POSITIONS crystal
Se 0.500 0.000 0.000
Se 0.000 0.500 0.000
P 0.500 0.500 0.500
K 0.000 0.000 0.000
Se 0.000 0.000 0.500
CELL_PARAMETERS angstrom
-0.719 -5.475 -1.509
3.059 -1.655 4.547
-4.785 -0.236 3.133
```

Space group: Pm-3m
Fermi-level density of states (states/eV/f.u.): 6.85
Uncorrected formation energy (eV per atom): 1.5358
Theoretical density (g/cm³): 2.72
Uncorrected energy (eV per atom): -1.86
M_tot (μB per cell): 3.8

[6]
A plane-wave DFT calculation with PBE-GGA was carried out for crystalline K2PSe at its relaxed geometry. Values from VASP.

Geometry as Quantum ESPRESSO input:
```
&SYSTEM
  ibrav = 0, nat = 4, ntyp = 3
/
ATOMIC_SPECIES
P 30.97 P.upf
K 39.10 K.upf
Se 78.96 Se.upf
ATOMIC_POSITIONS crystal
P 0.000 0.000 0.377
K 0.500 0.500 0.374
Se 0.500 0.500 0.874
K 0.000 0.000 0.876
CELL_PARAMETERS angstrom
-0.922 1.952 -4.257
-4.296 -2.078 -0.022
-2.610 5.363 3.024
```

Space group: P4mm
Fermi-level density of states (states/eV/f.u.): 3.74
Uncorrected formation energy (eV per atom): 0.0232
Offset from the most stable computed form (eV/atom): 0.556
Theoretical density (g/cm³): 2.05
Uncorrected energy (eV per atom): -2.75
M_tot (μB per cell): 3.0

[7]
A plane-wave DFT calculation with PBE-GGA was carried out for crystalline KP2Se3 at its relaxed geometry. Values from VASP.

Geometry as Quantum ESPRESSO input:
```
&SYSTEM
  ibrav = 0, nat = 12, ntyp = 3
/
ATOMIC_SPECIES
P 30.97 P.upf
Se 78.96 Se.upf
K 39.10 K.upf
ATOMIC_POSITIONS crystal
P 0.197 0.828 0.547
Se 0.897 0.733 0.524
Se 0.359 0.698 0.664
Se 0.296 0.635 0.115
Se 0.103 0.267 0.476
Se 0.704 0.365 0.885
P 0.138 0.582 0.802
K 0.249 0.247 0.972
P 0.862 0.418 0.198
P 0.803 0.172 0.453
K 0.751 0.753 0.028
Se 0.641 0.302 0.336
CELL_PARAMETERS angstrom
7.269 0.115 -0.196
-1.919 9.741 0.331
0.464 -4.105 5.570
```

Space group: P-1
Uncorrected formation energy (eV per atom): -0.2957
Offset from the most stable computed form (eV/atom): 0.000
Theoretical density (g/cm³): 2.77
Uncorrected energy (eV per atom): -4.02
M_tot (μB per cell): 0.0

[8]
A plane-wave DFT calculation with PBE-GGA was carried out for crystalline K2PSe at its relaxed geometry. Values from VASP.

Geometry as Quantum ESPRESSO input:
```
&SYSTEM
  ibrav = 0, nat = 8, ntyp = 3
/
ATOMIC_SPECIES
K 39.10 K.upf
P 30.97 P.upf
Se 78.96 Se.upf
ATOMIC_POSITIONS crystal
K 0.121 0.625 0.250
P 0.250 0.750 0.500
Se 0.750 0.250 0.500
K 0.375 0.371 0.750
K 0.875 0.879 0.750
P 0.500 0.500 0.000
Se 0.000 0.000 0.000
K 0.629 0.125 0.250
CELL_PARAMETERS angstrom
-8.771 0.239 1.896
1.538 -4.403 7.670
-3.252 0.431 6.153
```

Space group: I-42d
Fermi-level density of states (states/eV/f.u.): 2.57
Uncorrected formation energy (eV per atom): -0.1580
Offset from the most stable computed form (eV/atom): 0.375
Theoretical density (g/cm³): 2.69
Uncorrected energy (eV per atom): -2.93
M_tot (μB per cell): 2.0